1.
Here is a crystal of Si2SbPb relaxed with PBEsol from Alexandria via LeMat-Bulk. Energies are from meta-GGA SCAN.

Properties
Electronic total energy = -32.749 eV per atom

a = 5.295 Å, b = 5.295 Å, c = 5.496 Å
α = 110.92°, β = 110.92°, γ = 39.23°
Fractional coordinates of all 4 atoms:
Si  0.000  0.000  0.000
Si  0.674  0.674  0.177
Sb  0.423  0.423  0.348
Pb  0.227  0.227  0.719

=====

2.
Here is a crystal of TiAlInC2 relaxed with PBEsol from Alexandria via LeMat-Bulk. Energies are from meta-GGA SCAN.

Properties
Electronic total energy = -14.096 eV per atom
ΔE_f = 1.378 eV/atom

a = 4.071 Å, b = 4.071 Å, c = 5.112 Å
α = 90.00°, β = 90.00°, γ = 90.00°
Fractional coordinates of all 5 atoms:
Ti  0.000  0.000  0.000
Al  0.000  0.000  0.500
In  0.500  0.500  0.500
C  0.000  0.500  0.000
C  0.500  0.000  0.000

=====

3.
Here is a crystal of AgOs2Pd relaxed with PBEsol from Alexandria via LeMat-Bulk. Energies are from meta-GGA SCAN.

Properties
Electronic total energy = -50.923 eV per atom
ΔE_f = 1.052 eV/atom

a = 4.356 Å, b = 4.356 Å, c = 4.356 Å
α = 60.00°, β = 60.00°, γ = 60.00°
Fractional coordinates of all 4 atoms:
Ag  0.000  0.000  0.000
Os  0.250  0.250  0.250
Os  0.750  0.750  0.750
Pd  0.500  0.500  0.500

=====

4.
Here is a crystal of La2Si3Rh relaxed with PBEsol from Alexandria via LeMat-Bulk. Energies are from meta-GGA SCAN.

Properties
Electronic total energy = -25.989 eV per atom

a = 8.244 Å, b = 8.244 Å, c = 4.262 Å
α = 90.00°, β = 90.00°, γ = 120.00°
Fractional coordinates of all 12 atoms:
La  0.000  0.000  0.000
La  0.000  0.500  0.000
La  0.500  0.000  0.000
La  0.500  0.500  0.000
Si  0.166  0.333  0.500
Si  0.166  0.834  0.500
Si  0.333  0.166  0.500
Si  0.667  0.834  0.500
Si  0.834  0.166  0.500
Si  0.834  0.667  0.500
Rh  0.333  0.667  0.500
Rh  0.667  0.333  0.500

=====

5.
Here is a crystal of NaCO3 relaxed with PBEsol from Alexandria via LeMat-Bulk. Energies are from meta-GGA SCAN.

Properties
Electronic total energy = -8.062 eV per atom

a = 3.556 Å, b = 9.053 Å, c = 8.456 Å
α = 90.00°, β = 108.24°, γ = 90.00°
Fractional coordinates of all 20 atoms:
Na  0.073  0.003  0.297
Na  0.073  0.497  0.797
Na  0.927  0.503  0.203
Na  0.927  0.997  0.703
C  0.304  0.227  0.055
C  0.304  0.273  0.555
C  0.696  0.727  0.445
C  0.696  0.773  0.945
O  0.091  0.164  0.923
O  0.091  0.336  0.423
O  0.326  0.133  0.566
O  0.326  0.367  0.066
O  0.488  0.143  0.177
O  0.488  0.357  0.677
O  0.512  0.643  0.323
O  0.512  0.857  0.823
O  0.674  0.633  0.934
O  0.674  0.867  0.434
O  0.909  0.664  0.577
O  0.909  0.836  0.077

=====

6.
Here is a crystal of Ca2PIr relaxed with PBEsol from Alexandria via LeMat-Bulk. Energies are from meta-GGA SCAN.

Properties
Electronic total energy = -25.688 eV per atom
ΔE_f = -0.482 eV/atom

a = 4.989 Å, b = 4.989 Å, c = 4.989 Å
α = 127.33°, β = 127.33°, γ = 77.71°
Fractional coordinates of all 4 atoms:
Ca  0.250  0.750  0.500
Ca  0.750  0.250  0.500
P  0.000  0.000  0.000
Ir  0.500  0.500  0.000

=====

7.
Here is a crystal of HgRu2Cl relaxed with PBEsol from Alexandria via LeMat-Bulk. Energies are from meta-GGA SCAN.

Properties
Electronic total energy = -35.515 eV per atom
Excess energy over the best structure of this formula in the dataset = 0.6972 eV per atom

a = 2.937 Å, b = 2.937 Å, c = 6.906 Å
α = 90.00°, β = 90.00°, γ = 90.00°
Fractional coordinates of all 4 atoms:
Hg  0.000  0.000  0.000
Ru  0.500  0.500  0.288
Ru  0.500  0.500  0.712
Cl  0.000  0.000  0.500

=====

8.
Here is a crystal of HfGa2Cu2 relaxed with PBEsol from Alexandria via LeMat-Bulk. Energies are from meta-GGA SCAN.

Properties
Electronic total energy = -25.457 eV per atom
ΔE_f = -0.304 eV/atom

a = 5.795 Å, b = 5.795 Å, c = 5.795 Å
α = 141.65°, β = 141.65°, γ = 55.36°
Fractional coordinates of all 5 atoms:
Hf  0.000  0.000  0.000
Ga  0.387  0.387  0.000
Ga  0.613  0.613  0.000
Cu  0.250  0.750  0.500
Cu  0.750  0.250  0.500

=====

9.
Here is a crystal of KSr3 relaxed with PBEsol from Alexandria via LeMat-Bulk. Energies are from meta-GGA SCAN.

Properties
Electronic total energy = -18.703 eV per atom
ΔE_f = 0.085 eV/atom
Excess energy over the best structure of this formula in the dataset = 0.0344 eV per atom

a = 7.338 Å, b = 13.992 Å, c = 8.598 Å
α = 90.00°, β = 90.00°, γ = 90.00°
Fractional coordinates of all 16 atoms:
K  0.087  0.250  0.129
K  0.413  0.750  0.629
K  0.587  0.250  0.371
K  0.913  0.750  0.871
Sr  0.092  0.250  0.631
Sr  0.248  0.503  0.376
Sr  0.248  0.997  0.376
Sr  0.252  0.003  0.876
Sr  0.252  0.497  0.876
Sr  0.408  0.750  0.131
Sr  0.592  0.250  0.869
Sr  0.748  0.503  0.124
Sr  0.748  0.997  0.124
Sr  0.752  0.003  0.624
Sr  0.752  0.497  0.624
Sr  0.908  0.750  0.369

=====

10.
Here is a crystal of BiIrSe2 relaxed with PBEsol from Alexandria via LeMat-Bulk. Energies are from meta-GGA SCAN.

Properties
Electronic total energy = -47.705 eV per atom

a = 8.674 Å, b = 8.674 Å, c = 8.674 Å
α = 24.48°, β = 24.48°, γ = 24.48°
Fractional coordinates of all 4 atoms:
Bi  0.000  0.000  0.000
Ir  0.500  0.500  0.500
Se  0.117  0.117  0.117
Se  0.883  0.883  0.883

=====

11.
Here is a crystal of Na2CS relaxed with PBEsol from Alexandria via LeMat-Bulk. Energies are from meta-GGA SCAN.

Properties
Electronic total energy = -6.374 eV per atom

a = 4.582 Å, b = 4.582 Å, c = 4.582 Å
α = 60.00°, β = 60.00°, γ = 60.00°
Fractional coordinates of all 4 atoms:
Na  0.250  0.250  0.250
Na  0.750  0.750  0.750
C  0.000  0.000  0.000
S  0.500  0.500  0.500

=====

12.
Here is a crystal of TlTe2 relaxed with PBEsol from Alexandria via LeMat-Bulk. Energies are from meta-GGA SCAN.

Properties
Electronic total energy = -49.070 eV per atom
Excess energy over the best structure of this formula in the dataset = 0.0105 eV per atom

a = 6.739 Å, b = 6.739 Å, c = 7.069 Å
α = 94.44°, β = 94.44°, γ = 37.75°
Fractional coordinates of all 6 atoms:
Tl  0.162  0.162  0.364
Tl  0.838  0.838  0.636
Te  0.185  0.185  0.902
Te  0.474  0.474  0.299
Te  0.526  0.526  0.701
Te  0.815  0.815  0.098

=====

13.
Here is a crystal of Mn2PRh relaxed with PBEsol from Alexandria via LeMat-Bulk. Energies are from meta-GGA SCAN.

Properties
Electronic total energy = -20.538 eV per atom
ΔE_f = -0.368 eV/atom

a = 4.038 Å, b = 4.038 Å, c = 4.038 Å
α = 60.00°, β = 60.00°, γ = 60.00°
Fractional coordinates of all 4 atoms:
Mn  0.000  0.000  0.000
Mn  0.250  0.250  0.250
P  0.750  0.750  0.750
Rh  0.500  0.500  0.500

=====

14.
Here is a crystal of Tb3MnB7 relaxed with PBEsol from Alexandria via LeMat-Bulk. Energies are from meta-GGA SCAN.

Properties
Electronic total energy = -19.781 eV per atom
ΔE_f = -0.640 eV/atom

a = 8.029 Å, b = 8.029 Å, c = 9.265 Å
α = 90.00°, β = 90.00°, γ = 155.50°
Fractional coordinates of all 22 atoms:
Tb  0.104  0.896  0.561
Tb  0.104  0.896  0.939
Tb  0.241  0.759  0.250
Tb  0.759  0.241  0.750
Tb  0.896  0.104  0.061
Tb  0.896  0.104  0.439
Mn  0.054  0.946  0.250
Mn  0.946  0.054  0.750
B  0.273  0.727  0.532
B  0.273  0.727  0.968
B  0.370  0.630  0.653
B  0.370  0.630  0.847
B  0.461  0.539  0.250
B  0.478  0.522  0.598
B  0.478  0.522  0.902
B  0.522  0.478  0.098
B  0.522  0.478  0.402
B  0.539  0.461  0.750
B  0.630  0.370  0.153
B  0.630  0.370  0.347
B  0.727  0.273  0.032
B  0.727  0.273  0.468

=====

15.
Here is a crystal of InAuI2N relaxed with PBEsol from Alexandria via LeMat-Bulk. Energies are from meta-GGA SCAN.

Properties
Electronic total energy = -36.484 eV per atom
Excess energy over the best structure of this formula in the dataset = 0.0000 eV per atom

a = 6.034 Å, b = 6.034 Å, c = 3.765 Å
α = 90.00°, β = 90.00°, γ = 90.00°
Fractional coordinates of all 5 atoms:
In  0.000  0.000  0.000
Au  0.500  0.500  0.500
I  0.000  0.500  0.500
I  0.500  0.000  0.500
N  0.500  0.500  0.000

=====

16.
Here is a crystal of RbGa2Sn2 relaxed with PBEsol from Alexandria via LeMat-Bulk. Energies are from meta-GGA SCAN.

Properties
Electronic total energy = -25.259 eV per atom
ΔE_f = -0.204 eV/atom

a = 6.548 Å, b = 6.548 Å, c = 6.548 Å
α = 135.50°, β = 135.50°, γ = 64.75°
Fractional coordinates of all 5 atoms:
Rb  0.000  0.000  0.000
Ga  0.250  0.750  0.500
Ga  0.750  0.250  0.500
Sn  0.369  0.369  0.000
Sn  0.631  0.631  0.000

=====

17.
Here is a crystal of La2MgPb relaxed with PBEsol from Alexandria via LeMat-Bulk. Energies are from meta-GGA SCAN.

Properties
Electronic total energy = -42.242 eV per atom
ΔE_f = -0.501 eV/atom

a = 5.847 Å, b = 5.847 Å, c = 3.613 Å
α = 90.00°, β = 90.00°, γ = 107.10°
Fractional coordinates of all 4 atoms:
La  0.000  0.500  0.000
La  0.500  0.000  0.000
Mg  0.000  0.000  0.500
Pb  0.500  0.500  0.500

=====

18.
Here is a crystal of LiCa2Br relaxed with PBEsol from Alexandria via LeMat-Bulk. Energies are from meta-GGA SCAN.

Properties
Electronic total energy = -10.889 eV per atom
Excess energy over the best structure of this formula in the dataset = 0.0525 eV per atom

a = 6.559 Å, b = 6.559 Å, c = 6.559 Å
α = 145.75°, β = 122.10°, γ = 69.03°
Fractional coordinates of all 4 atoms:
Li  0.000  0.000  0.000
Ca  0.293  0.793  0.500
Ca  0.707  0.207  0.500
Br  0.500  0.500  0.000

=====

19.
Here is a crystal of Ca2TlSb2 relaxed with PBEsol from Alexandria via LeMat-Bulk. Energies are from meta-GGA SCAN.

Properties
Electronic total energy = -33.949 eV per atom
Excess energy over the best structure of this formula in the dataset = 0.0000 eV per atom

a = 9.115 Å, b = 9.115 Å, c = 3.522 Å
α = 90.00°, β = 90.00°, γ = 90.00°
Fractional coordinates of all 10 atoms:
Ca  0.139  0.361  0.000
Ca  0.361  0.861  0.000
Ca  0.639  0.139  0.000
Ca  0.861  0.639  0.000
Tl  0.000  0.000  0.500
Tl  0.500  0.500  0.500
Sb  0.159  0.659  0.500
Sb  0.341  0.159  0.500
Sb  0.659  0.841  0.500
Sb  0.841  0.341  0.500

=====

20.
Here is a crystal of SiB2Br relaxed with PBEsol from Alexandria via LeMat-Bulk. Energies are from meta-GGA SCAN.

Properties
Electronic total energy = -10.259 eV per atom

a = 6.070 Å, b = 6.070 Å, c = 6.070 Å
α = 131.37°, β = 131.37°, γ = 71.23°
Fractional coordinates of all 8 atoms:
Si  0.000  0.000  0.000
Si  0.750  0.250  0.500
B  0.061  0.625  0.936
B  0.375  0.311  0.436
B  0.689  0.125  0.064
B  0.875  0.939  0.564
Br  0.250  0.750  0.500
Br  0.500  0.500  0.000